[1]
Below is a relaxed structure of Tb2TmIn3CuNi2, with properties calculated at the PBE-GGA level.

The structure belongs to space group Amm2 (No. 38); the cell edges are 3.8280, 12.9046 and 7.4472 Å and the angles 90.00°, 90.00° and 90.00°. Symmetry generates all atoms from Tb at (0.0000, 0.2063, 0.0000), Tm at (0.0000, 0.0000, 0.3812), In at (0.5000, 0.0000, 0.0524), In at (0.5000, 0.1287, 0.6642), Cu at (0.0000, 0.0000, 0.7930) and Ni at (0.5000, 0.1662, 0.2937).

As for the raw total energy: -4.57 eV/atom.

[2]
Below is a relaxed structure of CuAg3, with properties calculated at the PBE-GGA level.

The structure belongs to space group C2/m (No. 12); the cell edges are 18.7058, 2.8653 and 4.9771 Å and the angles 90.00°, 93.98° and 90.00°. Symmetry generates all atoms from Cu at (0.1939, 0.0000, 0.0608), Ag at (0.0613, 0.0000, 0.6919), Ag at (0.0712, 0.5000, 0.1848) and Ag at (0.1893, 0.5000, 0.5777).

Its formation energy from the elements is 0.07 eV/atom. As for the raw total energy: -2.98 eV/atom.

[3]
Below is a relaxed structure of LiGdFeS3, with properties calculated at the PBE-GGA level.

The structure belongs to space group Pnma (No. 62); the cell edges are 13.0151, 3.8005 and 10.7522 Å and the angles 90.00°, 90.00° and 90.00°. Symmetry generates all atoms from Li at (0.2178, 0.2500, 0.1845), Gd at (0.0369, 0.7500, 0.8454), Fe at (0.0215, 0.2500, 0.5822), S at (0.0809, 0.2500, 0.3793), S at (0.1040, 0.7500, 0.0837) and S at (0.1532, 0.2500, 0.7278).

Its polymorph energy (0 for the lowest one) is 13 meV/atom. As for the raw total energy: -5.80 eV/atom.

[4]
Below is a relaxed structure of KSiHg, with properties calculated at the PBE-GGA level.

The structure belongs to space group F-43m (No. 216); the cell edges are 7.1038, 7.1038 and 7.1038 Å and the angles 90.00°, 90.00° and 90.00°. Symmetry generates all atoms from K at (0.0000, 0.0000, 0.0000), Si at (0.2500, 0.2500, 0.7500) and Hg at (0.0000, 0.0000, 0.5000).

Its polymorph energy (0 for the lowest one) is 0 meV/atom. As for the raw total energy: -1.86 eV/atom.

[5]
Below is a relaxed structure of CsK2Rb2ReO6, with properties calculated at the PBE-GGA level.

The structure belongs to space group C2/m (No. 12); the cell edges are 6.4647, 10.9862 and 6.4750 Å and the angles 90.00°, 107.31° and 90.00°. Symmetry generates all atoms from Cs at (0.0000, 0.0000, 0.0000), K at (0.0000, 0.1665, 0.5000), Rb at (0.0000, 0.3323, 0.0000), Re at (0.0000, 0.5000, 0.5000), O at (0.1776, 0.3759, 0.6765) and O at (0.1849, 0.5000, 0.3147).

As for the raw total energy: -5.52 eV/atom.

[6]
Below is a relaxed structure of Gd2YSe3, with properties calculated at the PBE-GGA level.

The structure belongs to space group P-3m1 (No. 164); the cell edges are 4.0847, 4.0847 and 10.1057 Å and the angles 90.00°, 90.00° and 120.00°. Symmetry generates all atoms from Gd at (0.3333, 0.6667, 0.1661), Y at (0.0000, 0.0000, 0.5000), Se at (0.0000, 0.0000, 0.0000) and Se at (0.3333, 0.6667, 0.6645).

As for the raw total energy: -6.16 eV/atom.

[7]
Below is a relaxed structure of TmTaPO, with properties calculated at the PBE-GGA level.

The structure belongs to space group P4/nmm (No. 129, origin choice 2); the cell edges are 3.9039, 3.9039 and 8.5866 Å and the angles 90.00°, 90.00° and 90.00°. Symmetry generates all atoms from Tm at (0.2500, 0.2500, 0.1233), Ta at (0.2500, 0.7500, 0.5000), P at (0.2500, 0.2500, 0.6945) and O at (0.2500, 0.7500, 0.0000).

Its polymorph energy (0 for the lowest one) is 0 meV/atom. As for the raw total energy: -8.61 eV/atom.

[8]
Below is a relaxed structure of ErBPO, with properties calculated at the PBE-GGA level.

The structure belongs to space group P4/nmm (No. 129, origin choice 2); the cell edges are 3.8823, 3.8823 and 6.9574 Å and the angles 90.00°, 90.00° and 90.00°. Symmetry generates all atoms from Er at (0.2500, 0.2500, 0.1569), B at (0.2500, 0.7500, 0.5000), P at (0.2500, 0.2500, 0.6041) and O at (0.2500, 0.7500, 0.0000).

Its polymorph energy (0 for the lowest one) is 0 meV/atom. As for the raw total energy: -6.86 eV/atom.

[9]
Below is a relaxed structure of HfBAsO, with properties calculated at the PBE-GGA level.

The structure belongs to space group P4/nmm (No. 129, origin choice 2); the cell edges are 3.6232, 3.6232 and 8.1927 Å and the angles 90.00°, 90.00° and 90.00°. Symmetry generates all atoms from Hf at (0.2500, 0.2500, 0.1405), B at (0.2500, 0.7500, 0.5000), As at (0.2500, 0.2500, 0.6617) and O at (0.2500, 0.7500, 0.0000).

Its polymorph energy (0 for the lowest one) is 257 meV/atom. As for the raw total energy: -7.24 eV/atom.

[10]
Below is a relaxed structure of ZnGaIr2, with properties calculated at the PBE-GGA level.

The structure belongs to space group P6_3/mmc (No. 194); the cell edges are 4.2855, 4.2855 and 7.8899 Å and the angles 90.00°, 90.00° and 120.00°. Symmetry generates all atoms from Zn at (0.3333, 0.6667, 0.2500), Ga at (0.0000, 0.0000, 0.0000) and Ir at (0.3333, 0.6667, 0.5858).

Its polymorph energy (0 for the lowest one) is 224 meV/atom. As for the raw total energy: -5.62 eV/atom.

[11]
Below is a relaxed structure of SrTcPd2, with properties calculated at the PBE-GGA level.

The structure belongs to space group F-43m (No. 216); the cell edges are 6.7211, 6.7211 and 6.7211 Å and the angles 90.00°, 90.00° and 90.00°. Symmetry generates all atoms from Sr at (0.0000, 0.0000, 0.0000), Tc at (0.2500, 0.2500, 0.7500), Pd at (0.0000, 0.0000, 0.5000) and Pd at (0.2500, 0.2500, 0.2500).

As for the raw total energy: -5.20 eV/atom.

[12]
Below is a relaxed structure of Na3HoF6, with properties calculated at the PBE-GGA level.

The structure belongs to space group Fm-3m (No. 225); the cell edges are 8.4022, 8.4022 and 8.4022 Å and the angles 90.00°, 90.00° and 90.00°. Symmetry generates all atoms from Na at (0.0000, 0.0000, 0.0000), Na at (0.2500, 0.2500, 0.2500), Ho at (0.0000, 0.0000, 0.5000) and F at (0.0000, 0.0000, 0.2491).

Its polymorph energy (0 for the lowest one) is 76 meV/atom. As for the raw total energy: -5.10 eV/atom.